Density functional theory data (GGA-PBE) for crystalline La2ZnSbAu6 at its relaxed geometry.

**M_tot**: 0.000 μB/cell
**Theoretical density**: 11.916 g cm⁻³
**Formation energy (no corrections)**: -0.54 eV per atom
**Raw total energy**: -40.34 eV for the cell shown

The structure in CIF format:
```
data_La2ZnSbAu6
_chemical_formula_sum 'La2 Zn1 Sb1 Au6'
_cell_length_a 5.2021
_cell_length_b 6.0620
_cell_length_c 7.8689
_cell_angle_alpha 96.98
_cell_angle_beta 105.78
_cell_angle_gamma 101.89
_space_group_name_H-M_alt 'P -1'
_space_group_IT_number 2
_space_group_name_Hall '-P 1'
loop_
_atom_site_label
_atom_site_fract_x
_atom_site_fract_y
_atom_site_fract_z
_atom_site_occupancy
La1 0.0522 0.2861 0.1959 1
Zn1 0.5000 0.0000 0.5000 1
Sb1 0.5000 0.5000 0.0000 1
Au1 0.0352 0.1855 0.6668 1
Au2 0.3223 0.5914 0.5827 1
Au3 0.4430 0.9445 0.1597 1
```